1.
La4B6O15 | PBEsol | optimized geometry

a = 12.130 Å, b = 4.462 Å, c = 19.677 Å
α = 90.00°, β = 97.33°, γ = 90.00°
Space group C2/c (No. 15)
Unique sites:
La 0.123 0.209 0.094 (multiplicity 8)
La 0.141 0.212 0.304 (multiplicity 8)
B 0.060 0.281 0.694 (multiplicity 8)
B 0.104 0.292 0.911 (multiplicity 8)
B 0.173 0.197 0.473 (multiplicity 8)
O 0.000 0.152 0.750 (multiplicity 4)
O 0.003 0.182 0.625 (multiplicity 8)
O 0.059 0.396 0.196 (multiplicity 8)
O 0.092 0.387 0.432 (multiplicity 8)
O 0.130 0.108 0.973 (multiplicity 8)
O 0.171 0.149 0.701 (multiplicity 8)
O 0.187 0.271 0.863 (multiplicity 8)
O 0.209 0.287 0.547 (multiplicity 8)

E_form (uncorrected) = -3008 meV/atom
E_tot = -217.418 eV/f.u.
Magnetic moment = 0.00 μB per atom

2.
LaBO3 | PBEsol | optimized geometry

a = 4.152 Å, b = 5.061 Å, c = 6.276 Å
α = 90.00°, β = 107.71°, γ = 90.00°
Space group P2_1/m (No. 11)
Unique sites:
La 0.121 0.250 0.276 (multiplicity 2)
B 0.498 0.250 0.753 (multiplicity 2)
O 0.169 0.750 0.115 (multiplicity 2)
O 0.340 0.015 0.671 (multiplicity 4)

E_form (uncorrected) = -3107 meV/atom
E_tot = -43.645 eV/f.u.
Magnetic moment = 0.00 μB per atom

3.
Rb3La3B4O12 | PBEsol | optimized geometry

a = 10.962 Å, b = 9.258 Å, c = 14.366 Å
α = 90.00°, β = 110.50°, γ = 90.00°
Space group P2/c (No. 13)
Unique sites:
Rb 0.082 0.148 0.418 (multiplicity 4)
Rb 0.297 0.433 0.903 (multiplicity 4)
Rb 0.392 0.076 0.042 (multiplicity 4)
La 0.000 0.192 0.750 (multiplicity 2)
La 0.164 0.473 0.621 (multiplicity 4)
La 0.291 0.195 0.254 (multiplicity 4)
La 0.500 0.268 0.750 (multiplicity 2)
B 0.000 0.410 0.250 (multiplicity 2)
B 0.129 0.260 0.995 (multiplicity 4)
B 0.239 0.108 0.718 (multiplicity 4)
B 0.381 0.267 0.520 (multiplicity 4)
B 0.500 0.403 0.250 (multiplicity 2)
O 0.000 0.441 0.750 (multiplicity 2)
O 0.029 0.361 0.979 (multiplicity 4)
O 0.100 0.339 0.231 (multiplicity 4)
O 0.129 0.160 0.925 (multiplicity 4)
O 0.143 0.009 0.721 (multiplicity 4)
O 0.217 0.254 0.723 (multiplicity 4)
O 0.231 0.276 0.085 (multiplicity 4)
O 0.297 0.352 0.550 (multiplicity 4)
O 0.342 0.212 0.424 (multiplicity 4)
O 0.353 0.054 0.714 (multiplicity 4)
O 0.390 0.475 0.252 (multiplicity 4)
O 0.497 0.234 0.914 (multiplicity 4)
O 0.500 0.252 0.250 (multiplicity 2)

E_form (uncorrected) = -2759 meV/atom
E_tot = -170.866 eV/f.u.
Magnetic moment = 0.00 μB per atom

4.
LaSc3B4O12 | PBEsol | optimized geometry

a = 9.5134 Å, b = 9.5134 Å, c = 8.4286 Å
α = 90.00°, β = 90.00°, γ = 120.00°
Space group R32 (No. 155, hexagonal axes)
Unique sites:
La 0.0000 0.0000 0.0000 (multiplicity 3)
Sc 0.0000 0.5050 0.0000 (multiplicity 9)
B 0.0000 0.0000 0.5000 (multiplicity 3)
B 0.0000 0.4916 0.5000 (multiplicity 9)
O 0.0000 0.1461 0.5000 (multiplicity 9)
O 0.0000 0.6372 0.5000 (multiplicity 9)
O 0.0133 0.1915 0.8144 (multiplicity 18)

E_form (uncorrected) = -2973 meV/atom
E_tot = -175.688 eV/f.u.
Magnetic moment = 0.00 μB per atom

5.
LaSc3B4O12 | PBEsol | optimized geometry

a = 7.675 Å, b = 9.900 Å, c = 12.025 Å
α = 90.00°, β = 105.09°, γ = 90.00°
Space group Cc (No. 9)
Unique sites:
La 0.000 0.041 0.000 (multiplicity 4)
Sc 0.001 0.426 0.500 (multiplicity 4)
Sc 0.050 0.251 0.277 (multiplicity 4)
Sc 0.453 0.250 0.224 (multiplicity 4)
B 0.203 0.306 0.976 (multiplicity 4)
B 0.246 0.024 0.750 (multiplicity 4)
B 0.257 0.475 0.751 (multiplicity 4)
B 0.299 0.194 0.525 (multiplicity 4)
O 0.068 0.241 0.896 (multiplicity 4)
O 0.098 0.091 0.681 (multiplicity 4)
O 0.112 0.406 0.681 (multiplicity 4)
O 0.167 0.275 0.456 (multiplicity 4)
O 0.206 0.443 0.993 (multiplicity 4)
O 0.246 0.116 0.243 (multiplicity 4)
O 0.258 0.386 0.258 (multiplicity 4)
O 0.294 0.057 0.507 (multiplicity 4)
O 0.337 0.226 0.044 (multiplicity 4)
O 0.391 0.094 0.819 (multiplicity 4)
O 0.404 0.407 0.819 (multiplicity 4)
O 0.435 0.258 0.604 (multiplicity 4)

E_form (uncorrected) = -3072 meV/atom
E_tot = -177.661 eV/f.u.
Magnetic moment = 0.00 μB per atom

6.
LaB3P | PBEsol | optimized geometry

a = 4.665 Å, b = 4.665 Å, c = 4.665 Å
α = 90.00°, β = 90.00°, γ = 90.00°
Space group Pm-3m (No. 221)
Unique sites:
La 0.000 0.000 0.000 (multiplicity 1)
B 0.000 0.000 0.500 (multiplicity 3)
P 0.500 0.500 0.500 (multiplicity 1)

E_tot = -18.622 eV/f.u.
Energy of formation = 2713 meV per atom
Magnetic moment = 0.00 μB per atom

7.
La2B2P | PBEsol | optimized geometry

a = 5.386 Å, b = 5.386 Å, c = 3.202 Å
α = 90.00°, β = 90.00°, γ = 90.00°
Space group P4/mmm (No. 123)
Unique sites:
La 0.000 0.500 0.000 (multiplicity 2)
B 0.000 0.000 0.000 (multiplicity 1)
B 0.000 0.000 0.500 (multiplicity 1)
P 0.500 0.500 0.500 (multiplicity 1)

E_tot = -33.521 eV/f.u.
Energy of formation = -601 meV per atom
Magnetic moment = 0.00 μB per atom

8.
La2TlBPb | PBEsol | optimized geometry

a = 5.391 Å, b = 5.391 Å, c = 4.489 Å
α = 90.00°, β = 90.00°, γ = 90.00°
Space group P4/mmm (No. 123)
Unique sites:
La 0.000 0.500 0.000 (multiplicity 2)
Tl 0.000 0.000 0.500 (multiplicity 1)
B 0.000 0.000 0.000 (multiplicity 1)
Pb 0.500 0.500 0.500 (multiplicity 1)

E_tot = -25.248 eV/f.u.
Energy of formation = -182 meV per atom
Magnetic moment = 0.00 μB per atom

9.
LaBPt2 | PBEsol | optimized geometry

a = 5.5209 Å, b = 5.5209 Å, c = 7.8115 Å
α = 90.00°, β = 90.00°, γ = 120.00°
Space group P6_422 (No. 181)
Unique sites:
La 0.0000 0.5000 0.3333 (multiplicity 3)
B 0.0000 0.5000 0.8333 (multiplicity 3)
Pt 0.1506 0.3013 0.0000 (multiplicity 6)

E_tot = -29.934 eV/f.u.
Energy of formation = -911 meV per atom
Magnetic moment = 0.00 μB per atom

10.
RbLa2B | PBEsol | optimized geometry

a = 8.440 Å, b = 8.440 Å, c = 7.980 Å
α = 90.00°, β = 90.00°, γ = 90.00°
Space group I-42d (No. 122)
Unique sites:
Rb 0.000 0.000 0.000 (multiplicity 4)
La 0.131 0.250 0.625 (multiplicity 8)
B 0.000 0.000 0.500 (multiplicity 4)

E_tot = -16.312 eV/f.u.
Energy of formation = 606 meV per atom
Magnetic moment = 0.00 μB per atom

11.
La2Re3B7 | PBEsol | optimized geometry

a = 7.617 Å, b = 6.756 Å, c = 11.619 Å
α = 90.00°, β = 90.00°, γ = 90.00°
Space group Pcca (No. 54)
Unique sites:
La 0.176 0.236 0.178 (multiplicity 8)
Re 0.091 0.395 0.920 (multiplicity 8)
Re 0.250 0.000 0.432 (multiplicity 4)
B 0.000 0.368 0.750 (multiplicity 4)
B 0.033 0.104 0.541 (multiplicity 8)
B 0.041 0.123 0.817 (multiplicity 8)
B 0.130 0.302 0.462 (multiplicity 8)

E_tot = -105.800 eV/f.u.
Energy of formation = -500 meV per atom
Magnetic moment = 0.00 μB per atom

12.
La2B4Rh5 | PBEsol | optimized geometry

a = 5.473 Å, b = 9.954 Å, c = 11.218 Å
α = 90.00°, β = 90.00°, γ = 90.00°
Space group Fmmm (No. 69)
Unique sites:
La 0.000 0.000 0.142 (multiplicity 8)
B 0.000 0.161 0.370 (multiplicity 16)
Rh 0.000 0.000 0.500 (multiplicity 4)
Rh 0.250 0.250 0.000 (multiplicity 8)
Rh 0.250 0.250 0.250 (multiplicity 8)

E_tot = -87.439 eV/f.u.
Energy of formation = -726 meV per atom
Magnetic moment = 0.00 μB per atom

13.
La5B4Rh15 | PBEsol | optimized geometry

a = 4.218 Å, b = 4.218 Å, c = 20.617 Å
α = 90.00°, β = 90.00°, γ = 90.00°
Space group P4/mmm (No. 123)
Unique sites:
La 0.000 0.000 0.000 (multiplicity 1)
La 0.000 0.000 0.203 (multiplicity 2)
La 0.000 0.000 0.405 (multiplicity 2)
B 0.500 0.500 0.103 (multiplicity 2)
B 0.500 0.500 0.312 (multiplicity 2)
Rh 0.000 0.500 0.102 (multiplicity 4)
Rh 0.000 0.500 0.304 (multiplicity 4)
Rh 0.000 0.500 0.500 (multiplicity 2)
Rh 0.500 0.500 0.000 (multiplicity 1)
Rh 0.500 0.500 0.206 (multiplicity 2)
Rh 0.500 0.500 0.411 (multiplicity 2)

E_tot = -191.788 eV/f.u.
Energy of formation = -621 meV per atom
Magnetic moment = 0.00 μB per atom

14.
La3BRh | PBEsol | optimized geometry

a = 5.093 Å, b = 5.093 Å, c = 5.093 Å
α = 90.00°, β = 90.00°, γ = 90.00°
Space group Pm-3m (No. 221)
Unique sites:
La 0.000 0.000 0.500 (multiplicity 3)
B 0.000 0.000 0.000 (multiplicity 1)
Rh 0.500 0.500 0.500 (multiplicity 1)

E_tot = -29.915 eV/f.u.
Energy of formation = 256 meV per atom
Magnetic moment = 0.00 μB per atom